The following is a PBE calculation of a geometry-optimized TaMnBe2 structure, from the Alexandria database.

a b c (Å): 8.348 8.348 8.348
angles (deg): 18.28 18.28 18.28
Fractional coordinates of all 4 atoms:
1 Ta 0.000 0.000 0.000
2 Mn 0.500 0.500 0.500
3 Be 0.241 0.241 0.241
4 Be 0.759 0.759 0.759

Energy relative to the lowest polymorph listed for this composition in meV per atom: 502
Size of the total moment in μB/f.u.: 1.4
ΔH_f (0 K) in meV per atom: 381